Below is an optimized crystal structure of GdHoBPb, with properties calculated at the PBE level.

raw total energy: -5.091 eV/atom
symmetry: P-3m1 (164)
crystal system: trigonal

POSCAR file:
```
GdHoBPb
1.0
3.703 0.000 0.000
-1.851 3.207 0.000
0.000 0.000 16.802
Gd Pb Ho B
2 2 2 2
Direct
0.333 0.667 0.408
0.667 0.333 0.592
0.667 0.333 0.247
0.333 0.667 0.753
0.333 0.667 0.087
0.667 0.333 0.913
0.000 0.000 0.500
0.000 0.000 0.000
```